Compound: SrCd2Bi
Source: Alexandria
Functional: PBE
Structure: optimized geometry

Cell and atoms, written as extended XYZ:
```
8
Lattice="4.9056 0.0020 0.0000 -2.4475 6.1367 0.0000 0.0000 0.0000 8.9850" Properties=species:S:1:pos:R:3 pbc="T T T"
Sr 2.4602 0.6173 2.2462
Sr -0.0021 5.5214 6.7387
Bi -0.0022 1.8298 6.7387
Bi 2.4604 4.3088 2.2462
Cd 0.0049 2.5808 0.7902
Cd 2.4532 3.5578 8.1948
Cd 0.0049 2.5808 3.7023
Cd 2.4532 3.5578 5.2827
```

Summary:
DFT total energy: -8.22 eV/f.u.
Symmetry: No. 11
V: 135.3 Å³/f.u.
Spin magnetization: 0.00 μB/cell
N(E_F): 0.404 states/eV/atom